An optimized crystal structure of LiCdP2, computed with PBE-GGA.

Computed properties:
For the spin magnetization, the calculation gives 0.00 μB/f.u. Its formation energy is -0.14 eV/atom. The total energy is -3.556 eV per atom.

a b c (Å): 11.129 3.528 3.985
angles (deg): 90.00 109.48 90.00
Space group Cm (No. 8)
Inequivalent atoms, fractional coordinates:
Li 0.000 0.000 0.000 [2 per cell]
Cd 0.230 0.500 0.044 [2 per cell]
P 0.015 0.500 0.509 [2 per cell]
P 0.335 0.000 0.586 [2 per cell]

=====

An optimized crystal structure of LiCdP2, computed with PBE-GGA.

Computed properties:
For the spin magnetization, the calculation gives 0.00 μB/f.u. Its formation energy is 0.15 eV/atom. The total energy is -3.265 eV per atom.

a b c (Å): 2.966 2.966 7.722
angles (deg): 90.00 90.00 90.00
Space group P4/mmm (No. 123)
Inequivalent atoms, fractional coordinates:
Li 0.000 0.000 0.000 [1 per cell]
Cd 0.000 0.000 0.500 [1 per cell]
P 0.500 0.500 0.232 [2 per cell]

=====

An optimized crystal structure of LiCdP, computed with PBE-GGA.

Computed properties:
For the spin magnetization, the calculation gives 0.00 μB/f.u. Its formation energy is 0.03 eV/atom. The total energy is -2.716 eV per atom.

a b c (Å): 2.9872 2.9872 6.7806
angles (deg): 90.00 90.00 120.00
Space group P3m1 (No. 156)
Inequivalent atoms, fractional coordinates:
Li 0.0000 0.0000 0.0000 [1 per cell]
Cd 0.6667 0.3333 0.6435 [1 per cell]
P 0.3333 0.6667 0.2760 [1 per cell]